6
Lattice="-1.535 -3.401 0.774 5.482 -2.580 -0.461 0.992 1.033 6.503" Properties=species:S:1:pos:R:3 comment="VTe4Rh (PBE-GGA, relaxed)" total_magnetization_mub_per_fu=1.4 space_group="P2/m (10)" formation_energy_uncorrected_ev_per_atom=-0.30 dft_energy_ry_per_atom=-0.3775 pbc="T T T"
Rh 0.000 0.000 0.000
V -0.272 -1.184 3.639
Te 4.720 -1.216 4.016
Te 1.755 -0.331 2.026
Te 1.432 -1.480 5.717
Te 3.507 -3.468 1.100